Density functional theory data (PBE+U) for a relaxed structure of SmCoO3.

a = 3.730 Å, b = 3.730 Å, c = 3.730 Å
α = 90.00°, β = 90.00°, γ = 90.00°
Positions (direct):
O 0.000 0.500 0.500
O 0.500 0.000 0.500
O 0.500 0.500 0.000
Co 0.500 0.500 0.500
Sm 0.000 0.000 0.000

Results
Size of the total moment   0.020 μB/f.u.
Mass density   8.24 g/cm³
Energy   -6.997 eV/atom